(1)
# PBE MnCr2Cd, relaxed
# ΔH_f (0 K)   468 meV/atom
# Calculated volume   59.3 Å³/f.u.
# E   -27.5 eV/cell
# Magnetization   3.28 μB/f.u.
data_MnCr2Cd
_chemical_formula_sum 'Mn1 Cr2 Cd1'
_cell_length_a 4.992
_cell_length_b 4.992
_cell_length_c 4.992
_cell_angle_alpha 143.45
_cell_angle_beta 125.69
_cell_angle_gamma 67.25
_symmetry_space_group_name_H-M 'P 1'
_symmetry_Int_Tables_number 1
_symmetry_space_group_name_Hall 'P 1'
loop_
_atom_site_label
_atom_site_type_symbol
_atom_site_fract_x
_atom_site_fract_y
_atom_site_fract_z
Mn1 Mn 0.000 0.000 0.000
Cr1 Cr 0.557 0.557 0.000
Cr2 Cr 0.771 0.271 0.500
Cd1 Cd 0.277 0.777 0.500


(2)
# PBE MnCrCd2, relaxed
# ΔH_f (0 K)   502 meV/atom
# Calculated volume   74.9 Å³/f.u.
# E   -18.6 eV/cell
# Magnetization   7.59 μB/f.u.
# ΔE to the lowest computed polymorph   0.3085 eV/atom
data_MnCrCd2
_chemical_formula_sum 'Mn1 Cr1 Cd2'
_cell_length_a 4.980
_cell_length_b 4.980
_cell_length_c 5.244
_cell_angle_alpha 100.67
_cell_angle_beta 100.67
_cell_angle_gamma 35.95
_symmetry_space_group_name_H-M 'P 1'
_symmetry_Int_Tables_number 1
_symmetry_space_group_name_Hall 'P 1'
loop_
_atom_site_label
_atom_site_type_symbol
_atom_site_fract_x
_atom_site_fract_y
_atom_site_fract_z
Mn1 Mn 0.000 0.000 0.000
Cr1 Cr 0.500 0.500 0.500
Cd1 Cd 0.250 0.250 0.751
Cd2 Cd 0.750 0.750 0.249


(3)
# PBE Mn2CrCd, relaxed
# ΔH_f (0 K)   276 meV/atom
# Calculated volume   60.2 Å³/f.u.
# E   -27.8 eV/cell
# Magnetization   3.40 μB/f.u.
data_Mn2CrCd
_chemical_formula_sum 'Mn2 Cr1 Cd1'
_cell_length_a 2.945
_cell_length_b 2.945
_cell_length_c 6.938
_cell_angle_alpha 90.00
_cell_angle_beta 90.00
_cell_angle_gamma 90.00
_symmetry_space_group_name_H-M 'P 1'
_symmetry_Int_Tables_number 1
_symmetry_space_group_name_Hall 'P 1'
loop_
_atom_site_label
_atom_site_type_symbol
_atom_site_fract_x
_atom_site_fract_y
_atom_site_fract_z
Mn1 Mn 0.000 0.000 0.000
Mn2 Mn 0.500 0.500 0.224
Cr1 Cr 0.500 0.500 0.811
Cd1 Cd 0.000 0.000 0.513


(4)
# PBE Mn2CrCd, relaxed
# ΔH_f (0 K)   374 meV/atom
# Calculated volume   60.4 Å³/f.u.
# E   -27.4 eV/cell
# Magnetization   2.57 μB/f.u.
data_Mn2CrCd
_chemical_formula_sum 'Mn2 Cr1 Cd1'
_cell_length_a 4.033
_cell_length_b 4.033
_cell_length_c 3.713
_cell_angle_alpha 90.00
_cell_angle_beta 90.00
_cell_angle_gamma 90.00
_symmetry_space_group_name_H-M 'P 1'
_symmetry_Int_Tables_number 1
_symmetry_space_group_name_Hall 'P 1'
loop_
_atom_site_label
_atom_site_type_symbol
_atom_site_fract_x
_atom_site_fract_y
_atom_site_fract_z
Mn1 Mn 0.000 0.500 0.000
Mn2 Mn 0.500 0.000 0.000
Cr1 Cr 0.000 0.000 0.500
Cd1 Cd 0.500 0.500 0.500


(5)
# PBE Mn2CrCd, relaxed
# ΔH_f (0 K)   349 meV/atom
# Calculated volume   60.2 Å³/f.u.
# E   -27.5 eV/cell
# Magnetization   3.44 μB/f.u.
data_Mn2CrCd
_chemical_formula_sum 'Mn2 Cr1 Cd1'
_cell_length_a 5.164
_cell_length_b 5.164
_cell_length_c 4.403
_cell_angle_alpha 115.13
_cell_angle_beta 115.13
_cell_angle_gamma 34.91
_symmetry_space_group_name_H-M 'P 1'
_symmetry_Int_Tables_number 1
_symmetry_space_group_name_Hall 'P 1'
loop_
_atom_site_label
_atom_site_type_symbol
_atom_site_fract_x
_atom_site_fract_y
_atom_site_fract_z
Mn1 Mn 0.000 0.000 0.000
Mn2 Mn 0.240 0.240 0.740
Cr1 Cr 0.532 0.532 0.533
Cd1 Cd 0.766 0.766 0.266


(6)
# PBE Mn2CrCd, relaxed
# ΔH_f (0 K)   342 meV/atom
# Calculated volume   59.8 Å³/f.u.
# E   -27.5 eV/cell
# Magnetization   3.40 μB/f.u.
data_Mn2CrCd
_chemical_formula_sum 'Mn2 Cr1 Cd1'
_cell_length_a 4.713
_cell_length_b 4.713
_cell_length_c 4.713
_cell_angle_alpha 130.59
_cell_angle_beta 129.55
_cell_angle_gamma 73.30
_symmetry_space_group_name_H-M 'P 1'
_symmetry_Int_Tables_number 1
_symmetry_space_group_name_Hall 'P 1'
loop_
_atom_site_label
_atom_site_type_symbol
_atom_site_fract_x
_atom_site_fract_y
_atom_site_fract_z
Mn1 Mn 0.248 0.248 0.000
Mn2 Mn 0.752 0.752 0.000
Cr1 Cr 0.000 0.500 0.500
Cd1 Cd 0.500 0.000 0.500


(7)
# PBE MnCrCd2, relaxed
# ΔH_f (0 K)   410 meV/atom
# Calculated volume   73.3 Å³/f.u.
# E   -19.0 eV/cell
# Magnetization   7.56 μB/f.u.
# ΔE to the lowest computed polymorph   0.2164 eV/atom
data_MnCrCd2
_chemical_formula_sum 'Mn1 Cr1 Cd2'
_cell_length_a 4.697
_cell_length_b 4.697
_cell_length_c 4.697
_cell_angle_alpha 60.00
_cell_angle_beta 60.00
_cell_angle_gamma 60.00
_symmetry_space_group_name_H-M 'P 1'
_symmetry_Int_Tables_number 1
_symmetry_space_group_name_Hall 'P 1'
loop_
_atom_site_label
_atom_site_type_symbol
_atom_site_fract_x
_atom_site_fract_y
_atom_site_fract_z
Mn1 Mn 0.000 0.000 0.000
Cr1 Cr 0.500 0.500 0.500
Cd1 Cd 0.250 0.250 0.250
Cd2 Cd 0.750 0.750 0.750


(8)
# PBE MnCr2Cd, relaxed
# ΔH_f (0 K)   459 meV/atom
# Calculated volume   63.2 Å³/f.u.
# E   -27.5 eV/cell
# Magnetization   3.07 μB/f.u.
data_MnCr2Cd
_chemical_formula_sum 'Mn1 Cr2 Cd1'
_cell_length_a 4.392
_cell_length_b 4.392
_cell_length_c 3.276
_cell_angle_alpha 90.00
_cell_angle_beta 90.00
_cell_angle_gamma 90.00
_symmetry_space_group_name_H-M 'P 1'
_symmetry_Int_Tables_number 1
_symmetry_space_group_name_Hall 'P 1'
loop_
_atom_site_label
_atom_site_type_symbol
_atom_site_fract_x
_atom_site_fract_y
_atom_site_fract_z
Mn1 Mn 0.000 0.000 0.000
Cr1 Cr 0.000 0.500 0.500
Cr2 Cr 0.500 0.000 0.500
Cd1 Cd 0.500 0.500 0.000


(9)
# PBE MnCrCd2, relaxed
# ΔH_f (0 K)   499 meV/atom
# Calculated volume   74.3 Å³/f.u.
# E   -18.6 eV/cell
# Magnetization   7.45 μB/f.u.
# ΔE to the lowest computed polymorph   0.3048 eV/atom
data_MnCrCd2
_chemical_formula_sum 'Mn1 Cr1 Cd2'
_cell_length_a 9.451
_cell_length_b 9.451
_cell_length_c 9.451
_cell_angle_alpha 18.50
_cell_angle_beta 18.50
_cell_angle_gamma 18.50
_symmetry_space_group_name_H-M 'P 1'
_symmetry_Int_Tables_number 1
_symmetry_space_group_name_Hall 'P 1'
loop_
_atom_site_label
_atom_site_type_symbol
_atom_site_fract_x
_atom_site_fract_y
_atom_site_fract_z
Mn1 Mn 0.000 0.000 0.000
Cr1 Cr 0.500 0.500 0.500
Cd1 Cd 0.250 0.250 0.250
Cd2 Cd 0.750 0.750 0.750


(10)
# PBE MnCr2Cd, relaxed
# ΔH_f (0 K)   376 meV/atom
# Calculated volume   56.6 Å³/f.u.
# E   -27.8 eV/cell
# Magnetization   0.88 μB/f.u.
data_MnCr2Cd
_chemical_formula_sum 'Mn1 Cr2 Cd1'
_cell_length_a 3.088
_cell_length_b 3.149
_cell_length_c 5.825
_cell_angle_alpha 90.00
_cell_angle_beta 90.00
_cell_angle_gamma 90.00
_symmetry_space_group_name_H-M 'P 1'
_symmetry_Int_Tables_number 1
_symmetry_space_group_name_Hall 'P 1'
loop_
_atom_site_label
_atom_site_type_symbol
_atom_site_fract_x
_atom_site_fract_y
_atom_site_fract_z
Mn1 Mn 0.000 0.000 0.000
Cr1 Cr 0.500 0.500 0.180
Cr2 Cr 0.500 0.500 0.820
Cd1 Cd 0.000 0.000 0.500


(11)
# PBE MnCrCd2, relaxed
# ΔH_f (0 K)   327 meV/atom
# Calculated volume   71.4 Å³/f.u.
# E   -19.3 eV/cell
# Magnetization   0.02 μB/f.u.
# ΔE to the lowest computed polymorph   0.1330 eV/atom
data_MnCrCd2
_chemical_formula_sum 'Mn1 Cr1 Cd2'
_cell_length_a 4.656
_cell_length_b 4.656
_cell_length_c 4.656
_cell_angle_alpha 60.00
_cell_angle_beta 60.00
_cell_angle_gamma 60.00
_symmetry_space_group_name_H-M 'P 1'
_symmetry_Int_Tables_number 1
_symmetry_space_group_name_Hall 'P 1'
loop_
_atom_site_label
_atom_site_type_symbol
_atom_site_fract_x
_atom_site_fract_y
_atom_site_fract_z
Mn1 Mn 0.000 0.000 0.000
Cr1 Cr 0.750 0.750 0.750
Cd1 Cd 0.250 0.250 0.250
Cd2 Cd 0.500 0.500 0.500


(12)
# PBE Mn2CrCd, relaxed
# ΔH_f (0 K)   349 meV/atom
# Calculated volume   61.8 Å³/f.u.
# E   -27.5 eV/cell
# Magnetization   3.53 μB/f.u.
data_Mn2CrCd
_chemical_formula_sum 'Mn2 Cr1 Cd1'
_cell_length_a 4.942
_cell_length_b 4.942
_cell_length_c 4.942
_cell_angle_alpha 133.81
_cell_angle_beta 133.81
_cell_angle_gamma 67.38
_symmetry_space_group_name_H-M 'P 1'
_symmetry_Int_Tables_number 1
_symmetry_space_group_name_Hall 'P 1'
loop_
_atom_site_label
_atom_site_type_symbol
_atom_site_fract_x
_atom_site_fract_y
_atom_site_fract_z
Mn1 Mn 0.000 0.000 0.000
Mn2 Mn 0.750 0.250 0.500
Cr1 Cr 0.500 0.500 0.000
Cd1 Cd 0.250 0.750 0.500


Which value of magnetization does entry 5 give?
3.44 μB/f.u.